(1)
First-principles (PBE) data for AlSN2O after structural relaxation, as listed in the Alexandria database.

Structure (extended XYZ):
```
5
Lattice="3.557 0.000 0.000 0.000 3.557 0.000 0.000 0.000 5.440" Properties=species:S:1:pos:R:3 pbc="T T T"
Al 0.000 0.000 0.000
S 0.000 0.000 2.720
N 0.000 1.779 0.000
N 1.779 0.000 0.000
O 1.779 1.779 2.720
```

## Properties
E_form (uncorrected) (kcal/mol of atoms): 29.8
Crystal system: tetragonal
M_tot (μB per atom): 0.424
Calculated volume (Å³/cell): 68.83
SG: P4/mmm (123)
Mass density (g/cm³): 2.486

***

(2)
First-principles (PBE) data for Hf2NbHg after structural relaxation, as listed in the Alexandria database.

Structure (extended XYZ):
```
8
Lattice="-2.092 2.092 10.105 2.092 -2.092 10.105 2.092 2.092 -10.105" Properties=species:S:1:pos:R:3 pbc="T T T"
Hf 3.138 1.014 -2.526
Hf 1.014 1.046 2.526
Hf -1.046 1.078 7.579
Hf 1.078 1.046 12.631
Nb 0.000 0.000 0.000
Nb 0.000 2.092 5.052
Hg 2.092 0.000 5.052
Hg 0.000 0.000 10.105
```

## Properties
Crystal system: tetragonal
M_tot (μB per atom): 0.000
Calculated volume (Å³/cell): 176.91
Energy relative to the elements (meV per atom): 535
SG: I-42d (122)
Mass density (g/cm³): 12.211

***

(3)
First-principles (PBE) data for BeNb2Al4 after structural relaxation, as listed in the Alexandria database.

Structure (extended XYZ):
```
7
Lattice="-2.115 2.115 6.726 2.115 -2.115 6.726 2.115 2.115 -6.726" Properties=species:S:1:pos:R:3 pbc="T T T"
Be 0.000 0.000 0.000
Nb 0.000 0.000 4.929
Nb 0.000 0.000 8.523
Al 2.115 0.000 0.000
Al 0.000 0.000 2.281
Al 0.000 2.115 0.000
Al 0.000 0.000 11.171
```

## Properties
Crystal system: tetragonal
M_tot (μB per atom): 0.000
Calculated volume (Å³/cell): 120.29
Energy relative to the elements (meV per atom): 502
SG: I4/mmm (139)
Mass density (g/cm³): 4.179

***

(4)
First-principles (PBE) data for La2MgCdAu after structural relaxation, as listed in the Alexandria database.

Structure (extended XYZ):
```
5
Lattice="5.819 0.000 0.000 0.000 5.819 0.000 0.000 0.000 5.051" Properties=species:S:1:pos:R:3 pbc="T T T"
La 0.000 2.910 0.000
La 2.910 0.000 0.000
Mg 0.000 0.000 2.525
Cd 2.910 2.910 2.525
Au 0.000 0.000 0.000
```

## Properties
Crystal system: tetragonal
M_tot (μB per atom): 0.000
Calculated volume (Å³/cell): 171.04
Energy relative to the elements (meV per atom): -180
SG: P4/mmm (123)
Mass density (g/cm³): 5.937

***

(5)
First-principles (PBE) data for YBiAu after structural relaxation, as listed in the Alexandria database.

Structure (extended XYZ):
```
3
Lattice="-1.781 1.781 7.409 1.781 -1.781 7.409 1.781 1.781 -7.409" Properties=species:S:1:pos:R:3 pbc="T T T"
Y 0.000 0.000 0.000
Bi 0.000 0.000 11.744
Au 0.000 0.000 8.903
```

## Properties
Crystal system: tetragonal
M_tot (μB per atom): 0.000
Calculated volume (Å³/cell): 93.98
Energy relative to the elements (meV per atom): -251
SG: I4mm (107)
Mass density (g/cm³): 8.743